The following is a DFT calculation (PBE) of an optimized crystal structure of K2Rb4As.

The structure in POSCAR format:
```
K2Rb4As
1.0
18.3274 0.0000 0.0000
0.0000 6.1926 0.0000
-3.5805 0.0000 8.2208
K Rb As
4 8 2
Direct
0.1849 0.0000 0.2860 K
0.3151 0.5000 0.7140 K
0.6849 0.5000 0.2860 K
0.8151 0.0000 0.7140 K
0.0324 0.5000 0.2295 Rb
0.1262 0.0000 0.7871 Rb
0.3738 0.5000 0.2129 Rb
0.4676 0.0000 0.7705 Rb
0.5324 0.0000 0.2295 Rb
0.6262 0.5000 0.7871 Rb
0.8738 0.0000 0.2129 Rb
0.9676 0.5000 0.7705 Rb
0.0000 0.0000 0.0000 As
0.5000 0.5000 0.0000 As
```

Formation energy = -0.90 eV/f.u.
Crystal system = monoclinic
ΔE to the lowest computed polymorph = 0 kJ/mol of formula units